Compound: Pm3Ni2Ru
Source: Alexandria via LeMat-Bulk
Functional: GGA-PBE
Structure: relaxed

Calculated values
For the density of states at the Fermi level, the calculation gives 0.50 states/eV per atom. The density comes out at 8.6 g/cm³. The distance to the lowest polymorph of the same formula comes out at 0 kJ/mol of formula units. The calculation puts the total energy at -6.10 eV per atom. For the spin magnetization, the calculation gives 0.00 μB/f.u.

Geometry as CIF:
```
data_Pm3Ni2Ru
_chemical_formula_sum 'Pm3 Ni2 Ru1'
_cell_length_a 3.4573
_cell_length_b 3.4573
_cell_length_c 10.5602
_cell_angle_alpha 90.00
_cell_angle_beta 90.00
_cell_angle_gamma 90.00
_symmetry_space_group_name_H-M 'P 4/m m m'
_symmetry_Int_Tables_number 123
_symmetry_space_group_name_Hall '-P 4 2'
loop_
_atom_site_label
_atom_site_fract_x
_atom_site_fract_y
_atom_site_fract_z
_atom_site_occupancy
Pm1 0.0000 0.0000 0.0000 1
Pm2 0.0000 0.0000 0.3343 1
Ni1 0.5000 0.5000 0.1627 1
Ru1 0.5000 0.5000 0.5000 1
```

---

Compound: Pm7Ni2Ru2
Source: Alexandria via LeMat-Bulk
Functional: GGA-PBE
Structure: relaxed

Calculated values
For the density of states at the Fermi level, the calculation gives 0.72 states/eV per atom. The density comes out at 7.5 g/cm³. The calculation puts the total energy at -5.80 eV per atom. For the spin magnetization, the calculation gives 0.00 μB/f.u.

Geometry as CIF:
```
data_Pm7Ni2Ru2
_chemical_formula_sum 'Pm14 Ni4 Ru4'
_cell_length_a 7.4553
_cell_length_b 11.2359
_cell_length_c 7.0166
_cell_angle_alpha 90.00
_cell_angle_beta 90.00
_cell_angle_gamma 90.00
_symmetry_space_group_name_H-M 'C m m m'
_symmetry_Int_Tables_number 65
_symmetry_space_group_name_Hall '-C 2 2'
loop_
_atom_site_label
_atom_site_fract_x
_atom_site_fract_y
_atom_site_fract_z
_atom_site_occupancy
Pm1 0.0000 0.0000 0.0000 1
Pm2 0.0000 0.5000 0.2619 1
Pm3 0.2500 0.2500 0.2745 1
Ni1 0.1645 0.0000 0.5000 1
Ru1 0.0000 0.3045 0.0000 1
```

---

Compound: Pm3Ni3Ru
Source: Alexandria via LeMat-Bulk
Functional: GGA-PBE
Structure: relaxed

Calculated values
For the density of states at the Fermi level, the calculation gives 0.68 states/eV per atom. The density comes out at 8.1 g/cm³. The calculation puts the total energy at -6.11 eV per atom. For the spin magnetization, the calculation gives 0.00 μB/f.u.

Geometry as CIF:
```
data_Pm3Ni3Ru
_chemical_formula_sum 'Pm12 Ni12 Ru4'
_cell_length_a 10.5452
_cell_length_b 4.0626
_cell_length_c 14.3740
_cell_angle_alpha 90.00
_cell_angle_beta 107.73
_cell_angle_gamma 90.00
_symmetry_space_group_name_H-M 'C 1 2/m 1'
_symmetry_Int_Tables_number 12
_symmetry_space_group_name_Hall '-C 2y'
loop_
_atom_site_label
_atom_site_fract_x
_atom_site_fract_y
_atom_site_fract_z
_atom_site_occupancy
Pm1 0.0498 0.0000 0.2750 1
Pm2 0.1726 0.0000 0.5752 1
Pm3 0.1803 0.5000 0.0962 1
Ni1 0.0369 0.5000 0.4270 1
Ni2 0.0494 0.0000 0.9380 1
Ni3 0.1625 0.5000 0.7189 1
Ru1 0.0987 0.5000 0.8665 1
```

---

Compound: PmNiRu
Source: Alexandria via LeMat-Bulk
Functional: GGA-PBE
Structure: relaxed

Calculated values
For the density of states at the Fermi level, the calculation gives 0.89 states/eV per atom. The density comes out at 9.7 g/cm³. The distance to the lowest polymorph of the same formula comes out at 0 kJ/mol of formula units. The calculation puts the total energy at -6.89 eV per atom. For the spin magnetization, the calculation gives 0.00 μB/f.u.

Geometry as CIF:
```
data_PmNiRu
_chemical_formula_sum 'Pm4 Ni4 Ru4'
_cell_length_a 5.1425
_cell_length_b 5.2725
_cell_length_c 7.7085
_cell_angle_alpha 90.00
_cell_angle_beta 90.00
_cell_angle_gamma 90.00
_symmetry_space_group_name_H-M 'I m m a'
_symmetry_Int_Tables_number 74
_symmetry_space_group_name_Hall '-I 2b 2'
loop_
_atom_site_label
_atom_site_fract_x
_atom_site_fract_y
_atom_site_fract_z
_atom_site_occupancy
Pm1 0.0000 0.2500 0.1218 1
Ni1 0.0000 0.0000 0.5000 1
Ru1 0.2500 0.2500 0.7500 1
```

---

Compound: Pm6NiRu2
Source: Alexandria via LeMat-Bulk
Functional: GGA-PBE
Structure: relaxed

Calculated values
For the density of states at the Fermi level, the calculation gives 0.99 states/eV per atom. The density comes out at 7.2 g/cm³. The calculation puts the total energy at -6.03 eV per atom. For the spin magnetization, the calculation gives 0.00 μB/f.u.

Geometry as CIF:
```
data_Pm6NiRu2
_chemical_formula_sum 'Pm12 Ni2 Ru4'
_cell_length_a 11.7450
_cell_length_b 4.2268
_cell_length_c 11.1537
_cell_angle_alpha 90.00
_cell_angle_beta 109.02
_cell_angle_gamma 90.00
_symmetry_space_group_name_H-M 'C 1 2/m 1'
_symmetry_Int_Tables_number 12
_symmetry_space_group_name_Hall '-C 2y'
loop_
_atom_site_label
_atom_site_fract_x
_atom_site_fract_y
_atom_site_fract_z
_atom_site_occupancy
Pm1 0.0012 0.0000 0.2489 1
Pm2 0.1629 0.5000 0.5818 1
Pm3 0.1699 0.5000 0.0838 1
Ni1 0.0000 0.0000 0.5000 1
Ru1 0.1625 0.5000 0.8262 1
```

---

Compound: PmNiRu
Source: Alexandria via LeMat-Bulk
Functional: GGA-PBE
Structure: relaxed

Calculated values
For the density of states at the Fermi level, the calculation gives 1.34 states/eV per atom. The density comes out at 8.6 g/cm³. The distance to the lowest polymorph of the same formula comes out at 46 kJ/mol of formula units. The calculation puts the total energy at -6.73 eV per atom. For the spin magnetization, the calculation gives 0.88 μB/f.u.

Geometry as CIF:
```
data_PmNiRu
_chemical_formula_sum 'Pm1 Ni1 Ru1'
_cell_length_a 4.1239
_cell_length_b 4.1239
_cell_length_c 4.0108
_cell_angle_alpha 90.00
_cell_angle_beta 90.00
_cell_angle_gamma 120.00
_symmetry_space_group_name_H-M 'P -6 m 2'
_symmetry_Int_Tables_number 187
_symmetry_space_group_name_Hall 'P -6 2'
loop_
_atom_site_label
_atom_site_fract_x
_atom_site_fract_y
_atom_site_fract_z
_atom_site_occupancy
Pm1 0.0000 0.0000 0.0000 1
Ni1 0.3333 0.6667 0.5000 1
Ru1 0.6667 0.3333 0.5000 1
```

---

Compound: Pm2Ni4Sb3Ru
Source: Alexandria via LeMat-Bulk
Functional: GGA-PBE
Structure: relaxed

Calculated values
For the density of states at the Fermi level, the calculation gives 0.86 states/eV per atom. The density comes out at 8.7 g/cm³. The calculation puts the total energy at -5.92 eV per atom. As for the uncorrected formation energy: -0.496 eV/atom. For the spin magnetization, the calculation gives 2.15 μB/f.u.

Geometry as CIF:
```
data_Pm2Ni4Sb3Ru
_chemical_formula_sum 'Pm2 Ni4 Sb3 Ru1'
_cell_length_a 4.2798
_cell_length_b 4.2798
_cell_length_c 10.3359
_cell_angle_alpha 90.00
_cell_angle_beta 90.00
_cell_angle_gamma 90.00
_symmetry_space_group_name_H-M 'P -4 m 2'
_symmetry_Int_Tables_number 115
_symmetry_space_group_name_Hall 'P -4 -2'
loop_
_atom_site_label
_atom_site_fract_x
_atom_site_fract_y
_atom_site_fract_z
_atom_site_occupancy
Pm1 0.0000 0.5000 0.2474 1
Ni1 0.0000 0.0000 0.0000 1
Ni2 0.0000 0.5000 0.6271 1
Ni3 0.5000 0.5000 0.0000 1
Sb1 0.0000 0.5000 0.8695 1
Sb2 0.5000 0.5000 0.5000 1
Ru1 0.0000 0.0000 0.5000 1
```

---

Compound: Pm2Ni3Sb4Ru
Source: Alexandria via LeMat-Bulk
Functional: GGA-PBE
Structure: relaxed

Calculated values
For the density of states at the Fermi level, the calculation gives 0.73 states/eV per atom. The density comes out at 8.6 g/cm³. The calculation puts the total energy at -5.83 eV per atom. As for the uncorrected formation energy: -0.571 eV/atom. For the spin magnetization, the calculation gives 0.00 μB/f.u.

Geometry as CIF:
```
data_Pm2Ni3Sb4Ru
_chemical_formula_sum 'Pm2 Ni3 Sb4 Ru1'
_cell_length_a 4.4786
_cell_length_b 4.4786
_cell_length_c 10.1582
_cell_angle_alpha 90.00
_cell_angle_beta 90.00
_cell_angle_gamma 90.00
_symmetry_space_group_name_H-M 'P -4 m 2'
_symmetry_Int_Tables_number 115
_symmetry_space_group_name_Hall 'P -4 -2'
loop_
_atom_site_label
_atom_site_fract_x
_atom_site_fract_y
_atom_site_fract_z
_atom_site_occupancy
Pm1 0.0000 0.5000 0.2444 1
Ni1 0.0000 0.0000 0.0000 1
Ni2 0.0000 0.5000 0.6216 1
Sb1 0.0000 0.0000 0.5000 1
Sb2 0.0000 0.5000 0.8663 1
Sb3 0.5000 0.5000 0.5000 1
Ru1 0.5000 0.5000 0.0000 1
```